1.
The following is a DFT calculation (PBE) of ZrPt2Au after structural relaxation.

abc: 9.7083 9.7083 9.7083
angles: 17.29 17.29 17.29
With the nearest neighbours (Å) after each atom.
Sites, in units of the cell vectors:
Zr: 0.0000 0.0000 0.0000  6 Pt 2.87, 6 Zr 2.92
Pt: 0.2524 0.2524 0.2524  3 Zr 2.87, 6 Pt 2.92, 3 Au 2.98
Pt: 0.7476 0.7476 0.7476  3 Zr 2.87, 6 Pt 2.92, 3 Au 2.98
Au: 0.5000 0.5000 0.5000  6 Au 2.92, 6 Pt 2.98

Calculated values
Formation energy, meV per atom: -370
Crystal system: trigonal
D(E_F), states/eV/atom: 0.53



2.
The following is a DFT calculation (PBE) of ZrPtAu after structural relaxation.

abc: 4.6878 4.6878 2.8891
angles: 90.00 90.00 120.00
With the nearest neighbours (Å) after each atom.
Sites, in units of the cell vectors:
Zr: 0.0000 0.0000 0.0000  2 Zr 2.89, 6 Pt 3.01-3.13, 6 Au 3.05-3.09
Pt: 0.3333 0.6667 0.5442  3 Au 2.71, 2 Pt 2.89, 3 Zr 3.01
Au: 0.6667 0.3333 0.4855  3 Pt 2.71, 2 Au 2.89

Calculated values
Formation energy, meV per atom: -638
Crystal system: trigonal
D(E_F), states/eV/atom: 1.05
ΔE to the lowest computed polymorph, kJ/mol of atoms: 24.3